# 1
Here is a geometry-optimized YGaAs2Se structure from the Alexandria database. Energies are from PBE.

Summary:
Distance to the lowest polymorph of the same formula, meV per atom: 208
Raw formation energy, meV per atom: 97
Spin magnetization, μB per formula unit: 0.00
Energy, eV per atom: -4.3577

Lattice parameters (Å, degrees): 5.468 5.468 5.472 90.00 90.00 90.00
Element x y z (fractional)
As1 0.500 0.000 0.000
As2 0.000 0.500 0.000
Se1 0.000 0.000 0.500
Y1 0.000 0.000 0.000
Ga1 0.500 0.500 0.500

=====

# 2
Here is a geometry-optimized ZnGaAs2Se structure from the Alexandria database. Energies are from PBE.

Summary:
Distance to the lowest polymorph of the same formula, meV per atom: 0
Raw formation energy, meV per atom: 531
Spin magnetization, μB per formula unit: 0.00
Energy, eV per atom: -2.8854

Lattice parameters (Å, degrees): 4.829 4.829 5.209 90.00 90.00 90.00
Element x y z (fractional)
As1 0.500 0.000 0.000
As2 0.000 0.500 0.000
Se1 0.000 0.000 0.500
Zn1 0.000 0.000 0.000
Ga1 0.500 0.500 0.500